# 1
Compound: YMg2ReMo
Source: Alexandria via LeMat-Bulk
Functional: PBE-GGA
Structure: relaxed

Values from the calculation:
The space group is P4/mmm (123). The value obtained for the formation energy is 3.6 eV/f.u. The total moment is 0.0 μB/f.u.

Unit cell a=5.043 b=5.043 c=4.699 alpha=90.00 beta=90.00 gamma=90.00
Sites, in units of the cell vectors:
Y 0.000 0.000 0.000
Mg 0.000 0.500 0.500
Mg 0.500 0.000 0.500
Re 0.500 0.500 0.500
Mo 0.500 0.500 0.000

=====

# 2
Compound: MgZr2ReMo
Source: Alexandria via LeMat-Bulk
Functional: PBE-GGA
Structure: relaxed

Values from the calculation:
The space group is P4/mmm (123). The value obtained for the formation energy is 3.8 eV/f.u. The total moment is 0.0 μB/f.u.

Unit cell a=5.103 b=5.103 c=4.769 alpha=90.00 beta=90.00 gamma=90.00
Sites, in units of the cell vectors:
Mg 0.000 0.000 0.000
Zr 0.000 0.500 0.500
Zr 0.500 0.000 0.500
Re 0.500 0.500 0.500
Mo 0.500 0.500 0.000

=====

# 3
Compound: MgMo2Rh
Source: Alexandria via LeMat-Bulk
Functional: PBE-GGA
Structure: relaxed

Values from the calculation:
The space group is I-42d (122). The value obtained for the formation energy is 2.3 eV/f.u. The total moment is 0.0 μB/f.u.

Unit cell a=7.426 b=7.426 c=5.080 alpha=90.00 beta=90.00 gamma=90.00
Sites, in units of the cell vectors:
Mg 0.000 0.000 0.000
Mg 0.000 0.500 0.250
Mg 0.500 0.000 0.750
Mg 0.500 0.500 0.500
Mo 0.214 0.250 0.625
Mo 0.250 0.714 0.875
Mo 0.250 0.786 0.375
Mo 0.286 0.250 0.125
Mo 0.714 0.750 0.125
Mo 0.750 0.214 0.375
Mo 0.750 0.286 0.875
Mo 0.786 0.750 0.625
Rh 0.000 0.000 0.500
Rh 0.000 0.500 0.750
Rh 0.500 0.000 0.250
Rh 0.500 0.500 0.000

=====

# 4
Compound: MgMo2Rh
Source: Alexandria via LeMat-Bulk
Functional: PBE-GGA
Structure: relaxed

Values from the calculation:
The space group is P4mm (99). The value obtained for the formation energy is 0.1 eV/f.u. The total moment is 0.0 μB/f.u.

Unit cell a=3.189 b=3.189 c=6.275 alpha=90.00 beta=90.00 gamma=90.00
Sites, in units of the cell vectors:
Mg 0.000 0.000 0.000
Mo 0.000 0.000 0.498
Mo 0.500 0.500 0.286
Rh 0.500 0.500 0.765

=====

# 5
Compound: MgMo2Rh
Source: Alexandria via LeMat-Bulk
Functional: PBE-GGA
Structure: relaxed

Values from the calculation:
The space group is C2/m (12). The value obtained for the formation energy is 0.3 eV/f.u. The total moment is 0.0 μB/f.u.

Unit cell a=5.175 b=9.119 c=2.742 alpha=90.00 beta=105.00 gamma=90.00
Sites, in units of the cell vectors:
Mg 0.000 0.000 0.000
Mg 0.500 0.500 0.000
Mo 0.250 0.250 0.500
Mo 0.250 0.750 0.500
Mo 0.750 0.250 0.500
Mo 0.750 0.750 0.500
Rh 0.000 0.500 0.000
Rh 0.500 0.000 0.000

=====

# 6
Compound: MgMo2Rh
Source: Alexandria via LeMat-Bulk
Functional: PBE-GGA
Structure: relaxed

Values from the calculation:
The space group is Cmmm (65). The value obtained for the formation energy is 0.5 eV/f.u. The total moment is 0.0 μB/f.u.

Unit cell a=5.164 b=8.879 c=2.733 alpha=90.00 beta=90.00 gamma=90.00
Sites, in units of the cell vectors:
Mg 0.000 0.000 0.000
Mg 0.500 0.500 0.000
Mo 0.250 0.250 0.500
Mo 0.250 0.750 0.500
Mo 0.750 0.250 0.500
Mo 0.750 0.750 0.500
Rh 0.000 0.500 0.000
Rh 0.500 0.000 0.000

=====

# 7
Compound: Mg2Mo2Rh
Source: Alexandria via LeMat-Bulk
Functional: PBE-GGA
Structure: relaxed

Values from the calculation:
The space group is I4/mmm (139). The value obtained for the formation energy is 2.3 eV/f.u. The total moment is 0.0 μB/f.u.

Unit cell a=3.465 b=3.465 c=15.756 alpha=90.00 beta=90.00 gamma=90.00
Sites, in units of the cell vectors:
Mg 0.000 0.000 0.089
Mg 0.000 0.000 0.911
Mg 0.500 0.500 0.411
Mg 0.500 0.500 0.589
Mo 0.000 0.500 0.250
Mo 0.000 0.500 0.750
Mo 0.500 0.000 0.250
Mo 0.500 0.000 0.750
Rh 0.000 0.000 0.500
Rh 0.500 0.500 0.000

=====

# 8
Compound: MgMo2Rh
Source: Alexandria via LeMat-Bulk
Functional: PBE-GGA
Structure: relaxed

Values from the calculation:
The space group is Cm (8). The value obtained for the formation energy is 0.5 eV/f.u. The total moment is 0.0 μB/f.u.

Unit cell a=9.005 b=2.744 c=5.136 alpha=90.00 beta=95.33 gamma=90.00
Sites, in units of the cell vectors:
Mg 0.000 0.000 0.000
Mg 0.500 0.500 0.000
Mo 0.244 0.000 0.734
Mo 0.480 0.000 0.493
Mo 0.744 0.500 0.734
Mo 0.980 0.500 0.493
Rh 0.247 0.500 0.221
Rh 0.747 0.000 0.221